Entry from Alexandria: a relaxed PmYHoCd crystal (PBE).

a = 3.6214 Å, b = 3.6214 Å, c = 9.0429 Å
α = 90.00°, β = 90.00°, γ = 90.00°
Sites, in units of the cell vectors:
Pm  0.0000  0.0000  0.0000
Y  0.5000  0.5000  0.7191
Ho  0.5000  0.5000  0.2757
Cd  0.0000  0.0000  0.4954

- total energy (eV per formula unit) = -17.34
- calculated density (g/cm³) = 7.16
- distance to the lowest polymorph of the same formula (meV per atom) = 0
- space group = P4mm (99)
- ΔE_f (eV per atom) = -0.1569

Entry from Alexandria: a relaxed Nd4DyY6 crystal (PBE).

a = 10.9956 Å, b = 10.9956 Å, c = 3.6053 Å
α = 90.00°, β = 90.00°, γ = 120.00°
Sites, in units of the cell vectors:
Nd  0.0000  0.0000  0.0000
Nd  0.5076  0.0151  0.5000
Nd  0.5076  0.4924  0.5000
Nd  0.9849  0.4924  0.5000
Dy  0.6667  0.3333  0.0000
Y  0.1879  0.3758  0.0000
Y  0.1879  0.8121  0.0000
Y  0.2997  0.1498  0.5000
Y  0.6242  0.8121  0.0000
Y  0.8502  0.1498  0.5000
Y  0.8502  0.7003  0.5000

- total energy (eV per formula unit) = -60.67
- calculated density (g/cm³) = 5.60
- distance to the lowest polymorph of the same formula (meV per atom) = 48
- space group = P-6m2 (187)
- ΔE_f (eV per atom) = 0.1624

Entry from Alexandria: a relaxed BaCd2SnBr8 crystal (PBE).

a = 7.0726 Å, b = 7.0726 Å, c = 10.1410 Å
α = 90.00°, β = 90.00°, γ = 120.00°
Sites, in units of the cell vectors:
Ba  0.0000  0.0000  0.0000
Cd  0.3333  0.6667  0.7547
Cd  0.6667  0.3333  0.2453
Sn  0.0000  0.0000  0.5000
Br  0.0237  0.7045  0.2985
Br  0.2955  0.3193  0.2985
Br  0.3193  0.0237  0.7015
Br  0.3333  0.6667  0.0113
Br  0.6667  0.3333  0.9887
Br  0.6807  0.9763  0.2985
Br  0.7045  0.6807  0.7015
Br  0.9763  0.2955  0.7015

- total energy (eV per formula unit) = -33.99
- calculated density (g/cm³) = 4.23
- space group = P-3 (147)

Entry from Alexandria: a relaxed HoTmMg3 crystal (PBE).

a = 8.9052 Å, b = 8.9052 Å, c = 8.9052 Å
α = 40.51°, β = 40.51°, γ = 40.51°
Sites, in units of the cell vectors:
Ho  0.0675  0.0675  0.0675
Ho  0.9325  0.9325  0.9325
Tm  0.3350  0.3350  0.3350
Tm  0.6650  0.6650  0.6650
Mg  0.1109  0.6208  0.6208
Mg  0.3792  0.3792  0.8891
Mg  0.3792  0.8891  0.3792
Mg  0.6208  0.1109  0.6208
Mg  0.6208  0.6208  0.1109
Mg  0.8891  0.3792  0.3792

- total energy (eV per formula unit) = -13.69
- calculated density (g/cm³) = 5.03
- distance to the lowest polymorph of the same formula (meV per atom) = 74
- space group = R-3m (166)
- ΔE_f (eV per atom) = 0.0285

Entry from Alexandria: a relaxed SmDy2Al crystal (PBE).

a = 5.3788 Å, b = 5.3788 Å, c = 5.3788 Å
α = 60.00°, β = 60.00°, γ = 60.00°
Sites, in units of the cell vectors:
Sm  0.0000  0.0000  0.0000
Dy  0.2500  0.2500  0.2500
Dy  0.7500  0.7500  0.7500
Al  0.5000  0.5000  0.5000

- total energy (eV per formula unit) = -17.72
- calculated density (g/cm³) = 7.58
- distance to the lowest polymorph of the same formula (meV per atom) = 179
- space group = Fm-3m (225)
- ΔE_f (eV per atom) = -0.0136

Entry from Alexandria: a relaxed HgPPt2 crystal (PBE).

a = 7.1666 Å, b = 7.1666 Å, c = 7.1666 Å
α = 156.29°, β = 150.74°, γ = 38.01°
Sites, in units of the cell vectors:
Hg  0.0000  0.0000  0.0000
P  0.7674  0.2674  0.5000
Pt  0.3245  0.8245  0.5000
Pt  0.6305  0.6305  0.0000

- total energy (eV per formula unit) = -18.25
- calculated density (g/cm³) = 14.29
- distance to the lowest polymorph of the same formula (meV per atom) = 12
- space group = Imm2 (44)
- ΔE_f (eV per atom) = -0.1133